Entry from the Alexandria database: crystalline Y2Sb2Au at its relaxed geometry (PBE-GGA).

As for the uncorrected formation energy: -347.1 kJ/mol of formula units. For the final energy, the calculation gives -5.610 eV per atom.

Lattice parameters (Å, degrees): 7.935 7.935 4.171 90.00 90.00 90.00
Space group P4/mbm (No. 127)
Inequivalent atoms, fractional coordinates:
Y (0.156, 0.344, 0.000) x4
Sb (0.154, 0.654, 0.500) x4
Au (0.000, 0.000, 0.500) x2